Entry 1:
A plane-wave DFT calculation with PBE was carried out for a geometry-optimized SrH6S2 structure.

Values from the calculation:
Its space group is Immm, No. 71. The value obtained for the uncorrected energy is -3.531 eV/atom. The density of states at the Fermi level comes out at 0.00 states/eV per cell. The calculation puts the total magnetic moment at 0.0 μB per formula unit.

Unit cell a=5.3409 b=5.3409 c=5.3409 alpha=121.37 beta=118.22 gamma=90.38
Last column: nearest neighbours and their distance in Å.
Fractional positions:
Sr 0.0000 0.0000 0.0000  12 H 2.97-3.16, 8 S 3.25-3.29
H 0.1059 0.3944 0.7115  1 H 1.01
H 0.3170 0.6056 0.7115  1 H 1.01
H 0.3250 0.5000 0.8250  2 H 1.01
H 0.6750 0.5000 0.1750  2 H 1.01
H 0.6830 0.3944 0.2885  1 H 1.01
H 0.8941 0.6056 0.2885  1 H 1.01
S 0.2574 0.7574 0.5000  2 H 1.63
S 0.7426 0.2426 0.5000  2 H 1.63

Entry 2:
A plane-wave DFT calculation with PBE was carried out for a geometry-optimized Sr9H14S2 structure.

Values from the calculation:
Its space group is P-3, No. 147. The value obtained for the uncorrected energy is -3.480 eV/atom. The density of states at the Fermi level comes out at 0.00 states/eV per cell. The calculation puts the total magnetic moment at 0.0 μB per formula unit.

Unit cell a=7.5243 b=7.5243 c=10.4418 alpha=90.00 beta=90.00 gamma=120.00
Last column: nearest neighbours and their distance in Å.
Fractional positions:
Sr 0.0000 0.0000 0.0000  6 H 2.53
Sr 0.0363 0.3281 0.3460  4 H 2.36-2.58
Sr 0.2919 0.9637 0.3460  4 H 2.36-2.58
Sr 0.3281 0.2919 0.6540  4 H 2.36-2.58
Sr 0.3333 0.6667 0.9400  3 H 2.36
Sr 0.6667 0.3333 0.0600  3 H 2.36
Sr 0.6719 0.7081 0.3460  4 H 2.36-2.58
Sr 0.7081 0.0363 0.6540  4 H 2.36-2.58
Sr 0.9637 0.6719 0.6540  4 H 2.36-2.58
H 0.0000 0.0000 0.3212  3 Sr 2.36
H 0.0000 0.0000 0.6788  3 Sr 2.36
H 0.0489 0.3772 0.5874  4 Sr 2.54-2.69, 1 H 2.84
H 0.1210 0.7964 0.8712  3 Sr 2.36-2.53
H 0.2036 0.3245 0.8712  3 Sr 2.36-2.53
H 0.3245 0.1210 0.1288  3 Sr 2.36-2.53
H 0.3284 0.9511 0.5874  4 Sr 2.54-2.69, 1 H 2.84
H 0.3772 0.3284 0.4126  4 Sr 2.54-2.69, 1 H 2.84
H 0.6228 0.6716 0.5874  4 Sr 2.54-2.69, 1 H 2.84
H 0.6716 0.0489 0.4126  4 Sr 2.54-2.69, 1 H 2.84
H 0.6755 0.8790 0.8712  3 Sr 2.36-2.53
H 0.7964 0.6755 0.1288  3 Sr 2.36-2.53
H 0.8790 0.2036 0.1288  3 Sr 2.36-2.53
H 0.9511 0.6228 0.4126  4 Sr 2.54-2.69, 1 H 2.84
S 0.3333 0.6667 0.2013  4 Sr 2.73-2.84
S 0.6667 0.3333 0.7987  4 Sr 2.73-2.84

Entry 3:
A plane-wave DFT calculation with PBE was carried out for a geometry-optimized Sr2H2S structure.

Values from the calculation:
Its space group is I4/mmm, No. 139. The calculation puts the polymorph energy (0 for the lowest one) at 0.31 eV per formula unit. The density of states at the Fermi level comes out at 0.00 states/eV per cell. The calculation puts the total magnetic moment at 0.0 μB per formula unit.

Unit cell a=3.8606 b=3.8606 c=12.8233 alpha=90.00 beta=90.00 gamma=90.00
Last column: nearest neighbours and their distance in Å.
Fractional positions:
Sr 0.0000 0.0000 0.1346  4 H 2.43
Sr 0.0000 0.0000 0.8654  4 H 2.43
Sr 0.5000 0.5000 0.3654  4 H 2.43
Sr 0.5000 0.5000 0.6346  4 H 2.43
H 0.0000 0.5000 0.2500  4 Sr 2.43
H 0.0000 0.5000 0.7500  4 Sr 2.43
H 0.5000 0.0000 0.2500  4 Sr 2.43
H 0.5000 0.0000 0.7500  4 Sr 2.43
S 0.0000 0.0000 0.5000  8 Sr 3.23
S 0.5000 0.5000 0.0000  8 Sr 3.23

Entry 4:
A plane-wave DFT calculation with PBE was carried out for a geometry-optimized SrTaHS2 structure.

Values from the calculation:
Its space group is P4/mmm, No. 123. The value obtained for the uncorrected energy is -5.379 eV/atom. The density of states at the Fermi level comes out at 2.06 states/eV per cell. The calculation puts the total magnetic moment at 1.7 μB per formula unit.

Unit cell a=4.9425 b=4.9425 c=3.4860 alpha=90.00 beta=90.00 gamma=90.00
Last column: nearest neighbours and their distance in Å.
Fractional positions:
Sr 0.0000 0.0000 0.0000  8 S 3.02
Ta 0.5000 0.5000 0.0000  2 H 1.74
H 0.5000 0.5000 0.5000  2 Ta 1.74
S 0.0000 0.5000 0.5000  2 H 2.47
S 0.5000 0.0000 0.5000  2 H 2.47